Entry 1:
# Ta2Ti4In PBE optimized geometry
data_Ta2Ti4In
_space_group_name_H-M_alt 'P -1'
_space_group_IT_number 2
_cell_length_a 2.8816
_cell_length_b 4.6285
_cell_length_c 9.8541
_cell_angle_alpha 76.44
_cell_angle_beta 82.19
_cell_angle_gamma 89.89
loop_
_space_group_symop_operation_xyz
'x,y,z'
'-x,-y,-z'
loop_
_atom_site_label
_atom_site_fract_x
_atom_site_fract_y
_atom_site_fract_z
_atom_site_occupancy
Ta1 0.1110 0.2101 0.0804 1
Ti1 0.3439 0.9238 0.6526 1
Ti2 0.4221 0.6508 0.1991 1
In1 0.0000 0.5000 0.5000 1
# Theoretical density ... 8.77 g/cm3
# ΔH_f (0 K) ... -0.013 eV/atom
# E ... -58.11 eV for the cell shown



Entry 2:
# TaTi2In PBE optimized geometry
data_TaTi2In
_space_group_name_H-M_alt 'R -3 m'
_space_group_IT_number 166
_space_group_name_Hall '-R 3 2"'
_cell_length_a 3.0506
_cell_length_b 3.0506
_cell_length_c 28.3306
_cell_angle_alpha 90.00
_cell_angle_beta 90.00
_cell_angle_gamma 120.00
loop_
_atom_site_label
_atom_site_fract_x
_atom_site_fract_y
_atom_site_fract_z
_atom_site_occupancy
Ta1 0.0000 0.0000 0.0000 1
Ti1 0.0000 0.0000 0.2538 1
In1 0.0000 0.0000 0.5000 1
# Theoretical density ... 8.54 g/cm3
# ΔH_f (0 K) ... 0.037 eV/atom
# E ... -90.70 eV for the cell shown



Entry 3:
# TaTiIn PBE optimized geometry
data_TaTiIn
_space_group_name_H-M_alt 'P 3 m 1'
_space_group_IT_number 156
_cell_length_a 3.0688
_cell_length_b 3.0688
_cell_length_c 7.1640
_cell_angle_alpha 90.00
_cell_angle_beta 90.00
_cell_angle_gamma 120.00
loop_
_space_group_symop_operation_xyz
'x,y,z'
'-y,x-y,z'
'-x+y,-x,z'
'-y,-x,z'
'-x+y,y,z'
'x,x-y,z'
loop_
_atom_site_label
_atom_site_fract_x
_atom_site_fract_y
_atom_site_fract_z
_atom_site_occupancy
Ta1 0.0000 0.0000 0.0000 1
Ti1 0.6667 0.3333 0.3090 1
In1 0.3333 0.6667 0.6499 1
# Theoretical density ... 9.77 g/cm3
# ΔH_f (0 K) ... 0.111 eV/atom
# Relative energy among the computed polymorphs ... 91 meV/atom
# E ... -22.15 eV for the cell shown